# 1
! SrSm2In2 | Alexandria via LeMat-Bulk | GGA-PBE | relaxed; values from VASP
&SYSTEM
  ibrav = 0, nat = 10, ntyp = 3
/
ATOMIC_SPECIES
Sr 87.62 Sr.upf
Sm 150.36 Sm.upf
In 114.82 In.upf
CELL_PARAMETERS angstrom
7.287 0.000 0.000
0.000 5.239 0.000
-3.624 0.000 8.601
ATOMIC_POSITIONS crystal
Sr 0.095 0.250 0.187
Sr 0.905 0.750 0.813
Sm 0.268 0.750 0.537
Sm 0.452 0.750 0.907
Sm 0.548 0.250 0.093
Sm 0.732 0.250 0.463
In 0.167 0.250 0.743
In 0.428 0.750 0.259
In 0.572 0.250 0.741
In 0.833 0.750 0.257
! - Electronic total energy: -36.1 eV/cell
! - Crystal system: monoclinic

---

# 2
! CaAcNi2As2 | Alexandria via LeMat-Bulk | GGA-PBE | relaxed; values from VASP
&SYSTEM
  ibrav = 0, nat = 6, ntyp = 4
/
ATOMIC_SPECIES
Ca 40.08 Ca.upf
Ac 227.00 Ac.upf
Ni 58.69 Ni.upf
As 74.92 As.upf
CELL_PARAMETERS angstrom
4.146 0.000 0.000
-2.073 3.591 0.000
0.000 0.000 8.475
ATOMIC_POSITIONS crystal
Ca 0.000 0.000 0.000
Ac 0.000 0.000 0.500
Ni 0.333 0.667 0.244
Ni 0.667 0.333 0.756
As 0.333 0.667 0.763
As 0.667 0.333 0.237
! - Electronic total energy: -32.4 eV/cell
! - Crystal system: trigonal

---

# 3
! ZnMo2Os | Alexandria via LeMat-Bulk | GGA-PBE | relaxed; values from VASP
&SYSTEM
  ibrav = 0, nat = 4, ntyp = 3
/
ATOMIC_SPECIES
Zn 65.41 Zn.upf
Mo 95.94 Mo.upf
Os 190.23 Os.upf
CELL_PARAMETERS angstrom
2.806 0.000 0.000
0.000 4.460 0.000
0.000 0.000 4.787
ATOMIC_POSITIONS crystal
Zn 0.000 0.000 0.000
Mo 0.500 0.000 0.502
Mo 0.500 0.500 0.836
Os 0.000 0.500 0.325
! - Electronic total energy: -33.7 eV/cell
! - Crystal system: orthorhombic

---

# 4
! Li4CaOs | Alexandria via LeMat-Bulk | GGA-PBE | relaxed; values from VASP
&SYSTEM
  ibrav = 0, nat = 6, ntyp = 3
/
ATOMIC_SPECIES
Li 6.94 Li.upf
Ca 40.08 Ca.upf
Os 190.23 Os.upf
CELL_PARAMETERS angstrom
0.000 3.662 3.662
3.662 0.000 3.662
3.662 3.662 0.000
ATOMIC_POSITIONS crystal
Li 0.120 0.120 0.120
Li 0.120 0.120 0.639
Li 0.120 0.639 0.120
Li 0.639 0.120 0.120
Ca 0.500 0.500 0.500
Os 0.750 0.750 0.750
! - Electronic total energy: -18.9 eV/cell
! - Crystal system: cubic

---

# 5
! Ba5P | Alexandria via LeMat-Bulk | GGA-PBE | relaxed; values from VASP
&SYSTEM
  ibrav = 0, nat = 6, ntyp = 2
/
ATOMIC_SPECIES
Ba 137.33 Ba.upf
P 30.97 P.upf
CELL_PARAMETERS angstrom
7.158 0.000 0.000
-3.579 6.199 0.000
0.000 0.000 7.402
ATOMIC_POSITIONS crystal
Ba 0.000 0.500 0.000
Ba 0.333 0.667 0.500
Ba 0.500 0.000 0.000
Ba 0.500 0.500 0.000
Ba 0.667 0.333 0.500
P 0.000 0.000 0.500
! - Electronic total energy: -11.7 eV/cell
! - Crystal system: hexagonal

---

# 6
! Ce2AgAs4Pd3 | Alexandria via LeMat-Bulk | GGA-PBE | relaxed; values from VASP
&SYSTEM
  ibrav = 0, nat = 10, ntyp = 4
/
ATOMIC_SPECIES
Ce 140.12 Ce.upf
Ag 107.87 Ag.upf
As 74.92 As.upf
Pd 106.42 Pd.upf
CELL_PARAMETERS angstrom
4.458 0.000 0.000
0.000 4.458 0.000
0.000 0.000 10.078
ATOMIC_POSITIONS crystal
Ce 0.000 0.500 0.241
Ce 0.500 0.000 0.759
Ag 0.000 0.000 0.500
As 0.000 0.000 0.000
As 0.000 0.500 0.640
As 0.500 0.000 0.360
As 0.500 0.500 0.000
Pd 0.000 0.500 0.883
Pd 0.500 0.000 0.117
Pd 0.500 0.500 0.500
! - Electronic total energy: -56.3 eV/cell
! - Crystal system: tetragonal

---

| no. | formation energy (eV per atom) |
| --- | --- |
| 1 | -0.29 |
| 2 | -0.90 |
| 3 | 0.11 |
| 4 | 0.33 |
| 5 | 0.55 |
| 6 | -0.74 |